1.
TeBr5: relaxed, GGA-PBE.

The raw formation energy comes out at 0.141 eV/atom. The value obtained for the density is 3.89 Mg/m³. The total moment is 0.311 μB per formula unit. For the energy above the most stable polymorph in this dataset, the calculation gives 232 meV per atom.

The space group is P-62m (No. 189) and the conventional cell measures 8.5628, 8.5628 and 3.5443 Å, with angles of 90.00, 90.00 and 120.00 degrees. The asymmetric unit holds Te at (0.0000, 0.0000, 0.0000), Br at (0.0000, 0.7487, 0.5000) and Br at (0.3333, 0.6667, 0.0000).


2.
DyTmHgRu: relaxed, GGA-PBE.

The value obtained for the density is 11.81 Mg/m³. The calculation puts the formation energy at -0.511 eV per atom. The total moment is 0.000 μB per formula unit. For the energy above the most stable polymorph in this dataset, the calculation gives 0 meV per atom.

The space group is P4mm (No. 99) and the conventional cell measures 3.452, 3.452 and 7.470 Å, with angles of 90.00, 90.00 and 90.00 degrees. The asymmetric unit holds Dy at (0.000, 0.000, 0.000), Tm at (0.000, 0.000, 0.560), Hg at (0.500, 0.500, 0.285) and Ru at (0.500, 0.500, 0.776).


3.
Hf2NiBr: relaxed, GGA-PBE.

The raw formation energy comes out at 0.024 eV/atom. The value obtained for the density is 11.36 Mg/m³. The total moment is 0.000 μB per formula unit. For the energy above the most stable polymorph in this dataset, the calculation gives 0 meV per atom.

The space group is Fm-3m (No. 225) and the conventional cell measures 6.618, 6.618 and 6.618 Å, with angles of 90.00, 90.00 and 90.00 degrees. The asymmetric unit holds Hf at (0.250, 0.250, 0.250), Ni at (0.000, 0.000, 0.000) and Br at (0.000, 0.000, 0.500).


What did the third record say?
Hf2NiBr: relaxed, GGA-PBE.

The raw formation energy comes out at 0.024 eV/atom. The value obtained for the density is 11.36 Mg/m³. The total moment is 0.000 μB per formula unit. For the energy above the most stable polymorph in this dataset, the calculation gives 0 meV per atom.

The space group is Fm-3m (No. 225) and the conventional cell measures 6.618, 6.618 and 6.618 Å, with angles of 90.00, 90.00 and 90.00 degrees. The asymmetric unit holds Hf at (0.250, 0.250, 0.250), Ni at (0.000, 0.000, 0.000) and Br at (0.000, 0.000, 0.500).


- Which formula does entry 2 have?
  DyTmHgRu


- energy above the most stable polymorph in this dataset of number 1 (TeBr5)?
  232 meV per atom


- The highest energy above the most stable polymorph in this dataset belongs to which entry?
  TeBr5